Below is Lu2AlOs after structural relaxation, with properties calculated at the PBE-GGA level.

a = 5.006 Å, b = 5.006 Å, c = 8.039 Å
α = 90.00°, β = 90.00°, γ = 120.00°
Sites, in units of the cell vectors:
Lu 0.333 0.667 0.079
Lu 0.333 0.667 0.421
Lu 0.667 0.333 0.579
Lu 0.667 0.333 0.921
Al 0.000 0.000 0.000
Al 0.000 0.000 0.500
Os 0.333 0.667 0.750
Os 0.667 0.333 0.250

Calculated density, g/cm³: 10.8
Uncorrected energy, eV/cell: -45.87
Excess energy over the best structure of this formula in the dataset, meV per atom: 605
Size of the total moment, μB per formula unit: 0.00



Below is Hf2ScFe4Ge4 after structural relaxation, with properties calculated at the PBE-GGA level.

a = 7.533 Å, b = 7.533 Å, c = 7.533 Å
α = 150.19°, β = 127.15°, γ = 61.86°
Sites, in units of the cell vectors:
Hf 0.128 0.128 0.000
Hf 0.872 0.872 0.000
Sc 0.500 0.000 0.500
Fe 0.126 0.322 0.804
Fe 0.483 0.678 0.804
Fe 0.517 0.322 0.196
Fe 0.874 0.678 0.196
Ge 0.197 0.500 0.697
Ge 0.283 0.783 0.500
Ge 0.717 0.217 0.500
Ge 0.803 0.500 0.303

Calculated density, g/cm³: 9.1
Uncorrected energy, eV/cell: -83.45
Size of the total moment, μB per formula unit: 5.52



Below is OsO2F6 after structural relaxation, with properties calculated at the PBE-GGA level.

a = 4.631 Å, b = 4.656 Å, c = 4.702 Å
α = 92.73°, β = 101.60°, γ = 103.28°
Sites, in units of the cell vectors:
Os 0.000 0.000 0.000
O 0.393 0.511 0.549
O 0.607 0.489 0.451
F 0.059 0.663 0.814
F 0.213 0.925 0.360
F 0.367 0.217 0.928
F 0.633 0.783 0.072
F 0.787 0.075 0.640
F 0.941 0.337 0.186

Calculated density, g/cm³: 5.8
Uncorrected energy, eV/cell: -42.49
Size of the total moment, μB per formula unit: 2.50



Below is Be4Nb3Si2 after structural relaxation, with properties calculated at the PBE-GGA level.

a = 4.897 Å, b = 4.897 Å, c = 7.072 Å
α = 104.41°, β = 104.41°, γ = 43.37°
Sites, in units of the cell vectors:
Be 0.051 0.051 0.392
Be 0.272 0.272 0.950
Be 0.728 0.728 0.050
Be 0.949 0.949 0.608
Nb 0.000 0.000 0.000
Nb 0.334 0.334 0.333
Nb 0.666 0.666 0.667
Si 0.388 0.388 0.725
Si 0.612 0.612 0.275

Calculated density, g/cm³: 5.5
Uncorrected energy, eV/cell: -60.15
Size of the total moment, μB per formula unit: 0.01



Below is Ho5MgIn3 after structural relaxation, with properties calculated at the PBE-GGA level.

a = 9.240 Å, b = 9.240 Å, c = 6.577 Å
α = 90.00°, β = 90.00°, γ = 120.00°
Sites, in units of the cell vectors:
Ho 0.000 0.305 0.250
Ho 0.000 0.695 0.750
Ho 0.305 0.000 0.250
Ho 0.305 0.305 0.750
Ho 0.333 0.667 0.000
Ho 0.333 0.667 0.500
Ho 0.667 0.333 0.000
Ho 0.667 0.333 0.500
Ho 0.695 0.000 0.750
Ho 0.695 0.695 0.250
Mg 0.000 0.000 0.000
Mg 0.000 0.000 0.500
In 0.000 0.357 0.750
In 0.000 0.643 0.250
In 0.357 0.000 0.750
In 0.357 0.357 0.250
In 0.643 0.000 0.250
In 0.643 0.643 0.750

Calculated density, g/cm³: 8.1
Uncorrected energy, eV/cell: -71.92
Size of the total moment, μB per formula unit: 0.01



Below is LuCoGeIr after structural relaxation, with properties calculated at the PBE-GGA level.

a = 4.547 Å, b = 4.547 Å, c = 4.547 Å
α = 60.00°, β = 60.00°, γ = 60.00°
Sites, in units of the cell vectors:
Lu 0.000 0.000 0.000
Co 0.500 0.500 0.500
Ge 0.250 0.250 0.250
Ir 0.750 0.750 0.750

Calculated density, g/cm³: 12.5
Uncorrected energy, eV/cell: -25.48
Excess energy over the best structure of this formula in the dataset, meV per atom: 340
Size of the total moment, μB per formula unit: 2.00



Below is ZnTe2Pt after structural relaxation, with properties calculated at the PBE-GGA level.

a = 4.967 Å, b = 4.967 Å, c = 4.967 Å
α = 60.00°, β = 60.00°, γ = 60.00°
Sites, in units of the cell vectors:
Zn 0.000 0.000 0.000
Te 0.250 0.250 0.250
Te 0.500 0.500 0.500
Pt 0.750 0.750 0.750

Calculated density, g/cm³: 9.9
Uncorrected energy, eV/cell: -12.12
Size of the total moment, μB per formula unit: 0.01



Below is SrPuNb after structural relaxation, with properties calculated at the PBE-GGA level.

a = 4.966 Å, b = 4.966 Å, c = 4.966 Å
α = 60.00°, β = 60.00°, γ = 60.00°
Sites, in units of the cell vectors:
Sr 0.000 0.000 0.000
Pu 0.250 0.250 0.250
Nb 0.500 0.500 0.500

Calculated density, g/cm³: 8.1
Uncorrected energy, eV/cell: -21.33
Excess energy over the best structure of this formula in the dataset, meV per atom: 0
Size of the total moment, μB per formula unit: 7.25



Below is Tb2HoAl7Cu2 after structural relaxation, with properties calculated at the PBE-GGA level.

a = 9.047 Å, b = 9.047 Å, c = 9.047 Å
α = 35.34°, β = 35.34°, γ = 35.34°
Sites, in units of the cell vectors:
Tb 0.142 0.142 0.142
Tb 0.858 0.858 0.858
Ho 0.000 0.000 0.000
Al 0.072 0.582 0.582
Al 0.418 0.418 0.928
Al 0.418 0.928 0.418
Al 0.500 0.500 0.500
Al 0.582 0.072 0.582
Al 0.582 0.582 0.072
Al 0.928 0.418 0.418
Cu 0.335 0.335 0.335
Cu 0.665 0.665 0.665

Calculated density, g/cm³: 6.0
Uncorrected energy, eV/cell: -53.30
Size of the total moment, μB per formula unit: 0.00



Below is LiCoPbW after structural relaxation, with properties calculated at the PBE-GGA level.

a = 4.495 Å, b = 4.495 Å, c = 4.495 Å
α = 60.00°, β = 60.00°, γ = 60.00°
Sites, in units of the cell vectors:
Li 0.000 0.000 0.000
Co 0.750 0.750 0.750
Pb 0.500 0.500 0.500
W 0.250 0.250 0.250

Calculated density, g/cm³: 11.8
Uncorrected energy, eV/cell: -22.13
Excess energy over the best structure of this formula in the dataset, meV per atom: 318
Size of the total moment, μB per formula unit: 2.50



Below is Ta4NiSnN2 after structural relaxation, with properties calculated at the PBE-GGA level.

a = 3.170 Å, b = 3.170 Å, c = 13.221 Å
α = 90.00°, β = 90.00°, γ = 120.00°
Sites, in units of the cell vectors:
Ta 0.000 0.000 0.144
Ta 0.000 0.000 0.856
Ta 0.667 0.333 0.322
Ta 0.667 0.333 0.678
Ni 0.667 0.333 0.000
Sn 0.000 0.000 0.500
N 0.333 0.667 0.233
N 0.333 0.667 0.767

Calculated density, g/cm³: 13.4
Uncorrected energy, eV/cell: -77.16
Size of the total moment, μB per formula unit: 0.01



Below is TmGaNO after structural relaxation, with properties calculated at the PBE-GGA level.

a = 3.854 Å, b = 5.799 Å, c = 5.249 Å
α = 90.00°, β = 90.00°, γ = 90.00°
Sites, in units of the cell vectors:
Tm 0.000 0.201 0.000
Tm 0.000 0.799 0.500
Ga 0.500 0.311 0.505
Ga 0.500 0.689 0.005
N 0.500 0.368 0.876
N 0.500 0.632 0.376
O 0.000 0.169 0.422
O 0.000 0.831 0.922

Calculated density, g/cm³: 7.6
Uncorrected energy, eV/cell: -53.05
Excess energy over the best structure of this formula in the dataset, meV per atom: 86
Size of the total moment, μB per formula unit: 0.00